Model w:
Computed, not measured: crystalline DyTm5Tl6 at its relaxed geometry at the PBE level of DFT.

Geometry as extended XYZ:
```
12
Lattice="-3.3301 -0.0695 5.4488 -3.6303 -9.1436 0.2293 2.7076 -6.2987 2.8568" Properties=species:S:1:pos:R:3 pbc="T T T"
Tm -0.6059 -10.2983 2.0630
Tm -0.4666 -5.7572 4.6662
Tm -3.4802 -4.6066 2.8391
Tm -3.7862 -9.7545 3.8687
Tm -0.3168 -5.1439 1.0231
Tl -5.2084 -6.9053 4.2417
Tl -2.0398 -7.4479 2.4620
Tl -2.3674 -12.5877 3.4785
Tl -1.8854 -2.9241 5.0563
Tl -2.2130 -8.0638 6.0729
Tl -1.7520 -2.3078 1.4364
Dy 0.0000 0.0000 0.0000
```

Properties
SG: C2/m
Volume in Å³/cell: 340.9

=====

Model x:
Computed, not measured: crystalline DyTm5Tl6 at its relaxed geometry at the PBE level of DFT.

Geometry as extended XYZ:
```
12
Lattice="5.1273 -0.0088 -1.4401 -3.8494 7.4455 -3.8725 -0.2019 -1.0943 9.1658" Properties=species:S:1:pos:R:3 pbc="T T T"
Tl 2.8337 1.5981 0.2540
Tl 1.4164 3.3158 5.0700
Tl -0.3404 3.0267 -1.2168
Tl -1.7577 4.7444 3.5992
Tl 0.8825 0.1635 3.1547
Tl 0.1935 6.1790 0.6985
Dy 0.0000 0.0000 0.0000
Tm 0.5380 3.1713 1.9266
Tm -0.6810 6.0254 -2.4310
Tm 2.4932 4.5915 -0.9686
Tm 1.7570 0.3171 6.2842
Tm -1.4172 1.7510 4.8218
```

Properties
SG: C2/m
Volume in Å³/cell: 319.6

=====

Ranked by calculated energy, most stable first: model x, model w.

=====

Model w:
Computed, not measured: crystalline Dy6Tm2Tl at its relaxed geometry at the PBE level of DFT.

Geometry as extended XYZ:
```
18
Lattice="6.3188 -0.1963 0.5870 0.8324 9.3827 0.0283 -0.3440 -0.4497 9.4026" Properties=species:S:1:pos:R:3 pbc="T T T"
Dy 6.0417 4.4817 6.8858
Dy 3.0516 5.9945 5.2436
Dy 1.0466 6.4369 0.4108
Dy 6.2422 7.2717 4.3870
Dy 3.3689 8.8145 3.1960
Dy 3.4383 -0.0778 6.8219
Dy 3.7557 2.7421 4.7743
Dy 0.5651 1.4650 5.6309
Dy 0.7655 4.2549 3.1321
Dy 5.7606 2.2998 9.6071
Dy 4.2017 5.3557 2.1213
Dy 2.6055 3.3809 7.8966
Tm 5.9853 0.9883 3.0280
Tm 0.8219 7.7483 6.9899
Tm 3.8342 6.4205 8.4557
Tm 2.9731 2.3161 1.5622
Tl 5.5514 9.0672 0.6289
Tl 1.2559 -0.3306 9.3889
```

Properties
SG: C2/c
Volume in Å³/cell: 560.7

=====

Model x:
Computed, not measured: crystalline Dy6Tm2Tl at its relaxed geometry at the PBE level of DFT.

Geometry as extended XYZ:
```
18
Lattice="4.8617 0.0000 0.2454 0.0000 10.5646 0.0000 -0.5350 0.0000 10.5513" Properties=species:S:1:pos:R:3 pbc="T T T"
Dy 4.7735 3.5747 1.9516
Dy 2.2510 5.2780 3.6615
Dy 4.4143 0.0043 9.0599
Dy -0.4469 6.9899 8.8451
Dy 2.4301 1.7389 0.1275
Dy 1.8965 8.8257 10.6692
Dy 2.0752 1.7076 7.1046
Dy -0.2668 7.0212 5.2708
Dy 2.0756 5.2866 7.1352
Dy 4.5935 3.5434 5.5259
Dy -0.0877 10.5603 1.7368
Dy 2.2514 8.8570 3.6922
Tm 4.7741 7.0058 1.9661
Tm 2.2509 1.7235 3.6776
Tm 2.0757 8.8411 7.1191
Tm -0.4474 3.5588 8.8306
Tl -0.2675 0.0000 5.2756
Tl 2.4308 5.2823 0.1227
```

Properties
SG: P4_2/mnm
Volume in Å³/cell: 543.3

=====

Ranked by calculated energy, most stable first: model x, model w.

=====

Model w:
Computed, not measured: crystalline DyTm2Tl4 at its relaxed geometry at the PBE level of DFT.

Geometry as extended XYZ:
```
7
Lattice="-3.4664 -1.9335 -2.8809 0.5838 -5.6347 3.0792 -4.5215 1.2297 4.6151" Properties=species:S:1:pos:R:3 pbc="T T T"
Dy -0.2823 -0.3152 0.5513
Tm -3.2642 -5.0783 3.1612
Tm -4.7056 -1.8862 2.7531
Tl -1.1454 -2.8233 3.2730
Tl -5.3903 -4.5338 5.3539
Tl -2.5794 -2.4318 0.5610
Tl -3.3482 -2.2145 5.5150
```

Properties
SG: Pm
Volume in Å³/cell: 206.7

=====

Model x:
Computed, not measured: crystalline DyTm2Tl4 at its relaxed geometry at the PBE level of DFT.

Geometry as extended XYZ:
```
7
Lattice="-5.6134 -2.5856 -1.7922 3.3819 -4.3629 3.3068 -1.1226 5.1597 3.6775" Properties=species:S:1:pos:R:3 pbc="T T T"
Tl -2.8067 -1.2928 -0.8961
Tl -0.5613 2.5799 1.8388
Tl -1.6770 -0.8943 2.5961
Tl 1.6910 -2.1814 1.6534
Tm -1.1157 -3.4742 0.7573
Tm -3.3680 1.2871 0.9427
Dy 0.0000 0.0000 0.0000
```

Properties
SG: I4/mmm
Volume in Å³/cell: 205.1

=====

Ranked by calculated energy, most stable first: model x, model w.